Below is crystalline Ba4TlTc3O12 at its relaxed geometry, with properties calculated at the PBE-GGA level.

The structure in POSCAR format:
```
Ba4TlTc3O12
1.0
-5.182 4.866 0.967
0.187 -1.956 -6.900
-1.328 -5.750 4.080
O Ba Tc Tl
12 4 3 1
Direct
0.736 0.736 0.000
0.500 0.750 0.250
0.264 0.264 0.000
0.736 0.000 0.736
0.750 0.500 0.250
0.500 0.250 0.750
0.264 0.000 0.264
0.250 0.750 0.500
0.000 0.736 0.736
0.000 0.264 0.264
0.250 0.500 0.750
0.750 0.250 0.500
0.500 0.000 0.000
0.000 0.500 0.000
0.500 0.500 0.500
0.000 0.000 0.500
0.000 0.500 0.500
0.500 0.500 0.000
0.500 0.000 0.500
0.000 0.000 0.000
```

Calculated values
**Crystal system**: cubic

Below is crystalline Ba6IrCl2 at its relaxed geometry, with properties calculated at the PBE-GGA level.

The structure in POSCAR format:
```
Ba6IrCl2
1.0
-2.196 -7.182 0.712
7.540 -2.531 -2.275
3.966 0.080 13.038
Cl Ba Ir
4 12 2
Direct
0.500 0.000 0.153
0.500 0.000 0.847
0.000 0.500 0.347
0.000 0.500 0.653
0.250 0.706 0.500
0.776 0.838 0.337
0.224 0.162 0.663
0.250 0.206 0.000
0.725 0.338 0.163
0.750 0.294 0.500
0.275 0.662 0.837
0.276 0.662 0.163
0.750 0.794 0.000
0.225 0.162 0.337
0.724 0.338 0.837
0.775 0.838 0.663
0.500 0.500 0.000
0.000 0.000 0.500
```

Calculated values
**Crystal system**: orthorhombic

Going through the records in order, we get energy relative to the elements, uncorrected values of -1.86, -0.87 eV/atom.
Going through the records in order, we get theoretical density values of 7.24, 4.25 Mg/m³.